No. 1
{"formula": "Fe2SiRu", "functional": "SCAN", "state": "PBEsol geometry", "space_group": "Imm2", "e_form_raw_ev_per_fu": -0.81, "cell": [[-1.8795, 0.7013, 2.1297], [-2.6465, -2.5941, -1.4813], [3.7781, -1.8977, 1.9495]], "species": ["Ru", "Si", "Fe", "Fe"], "frac_coords": [[0.5087, 0.5087, 0.0173], [0.2568, 0.7568, 0.5136], [0.7423, 0.2423, 0.4846], [0.9922, 0.9922, 0.9844]]}


No. 2
{"formula": "Sm2Fe3Ru", "functional": "SCAN", "state": "PBEsol geometry", "formation_enthalpy_0k_ev_per_atom": -0.0896, "space_group": "R-3m", "cell": [[5.1081, 0.0000, 0.0000], [2.5541, 4.4238, 0.0000], [2.5541, 1.4746, 4.2883]], "species": ["Sm", "Sm", "Fe", "Fe", "Fe", "Ru"], "frac_coords": [[0.1249, 0.1249, 0.6253], [0.8751, 0.8751, 0.3747], [0.5000, 0.0000, 0.0000], [0.0000, 0.5000, 0.0000], [0.5000, 0.5000, 0.0000], [0.5000, 0.5000, 0.5000]]}


No. 3
{"formula": "Sr3FeRu", "functional": "SCAN", "state": "PBEsol geometry", "formation_enthalpy_0k_ev_per_atom": 0.7459, "space_group": "Pm-3m", "e_above_lowest_polymorph_mev_per_atom": 0, "cell": [[-1.1684, -5.2685, 1.2002], [3.5659, 0.1708, 4.2212], [-4.0599, 1.6663, 3.3621]], "species": ["Sr", "Sr", "Sr", "Ru", "Fe"], "frac_coords": [[0.0000, 0.0000, 0.5000], [0.0000, 0.5000, 0.0000], [0.5000, 0.0000, 0.0000], [0.0000, 0.0000, 0.0000], [0.5000, 0.5000, 0.5000]]}


No. 4
{"formula": "Sr2FeRu", "functional": "SCAN", "state": "PBEsol geometry", "formation_enthalpy_0k_ev_per_atom": 0.3574, "space_group": "P4mm", "e_above_lowest_polymorph_mev_per_atom": 25, "cell": [[-2.3776, -1.8774, -1.5458], [2.0558, -2.7065, 0.1250], [-3.3718, -2.1983, 7.8558]], "species": ["Sr", "Sr", "Ru", "Fe"], "frac_coords": [[0.5000, 0.5000, 0.3320], [0.0000, 0.0000, 0.9173], [0.5000, 0.5000, 0.6629], [0.0000, 0.0000, 0.5878]]}


No. 5
{"formula": "SrFeRu2", "functional": "SCAN", "state": "PBEsol geometry", "formation_enthalpy_0k_ev_per_atom": 0.4998, "space_group": "P4/mmm", "e_above_lowest_polymorph_mev_per_atom": 0, "cell": [[-0.0993, 0.5887, 2.9288], [1.5382, -2.5025, 0.5551], [6.3823, 3.8013, -0.5478]], "species": ["Fe", "Sr", "Ru", "Ru"], "frac_coords": [[0.5000, 0.5000, 0.5000], [0.5000, 0.5000, 0.0000], [0.0000, 0.0000, 0.6785], [0.0000, 0.0000, 0.3215]]}


No. 6
{"formula": "Sr2FeRu", "functional": "SCAN", "state": "PBEsol geometry", "formation_enthalpy_0k_ev_per_atom": 0.3320, "space_group": "Amm2", "e_above_lowest_polymorph_mev_per_atom": 0, "cell": [[3.9576, 0.0000, 0.0000], [0.0000, 4.6696, 0.0000], [0.0000, -2.3348, 5.6590]], "species": ["Fe", "Sr", "Sr", "Ru"], "frac_coords": [[0.0000, 0.6754, 0.3509], [0.0000, 0.9856, 0.9712], [0.5000, 0.2655, 0.5310], [0.5000, 0.5725, 0.1450]]}


No. 7
{"formula": "Sr2FeRu", "functional": "SCAN", "state": "PBEsol geometry", "formation_enthalpy_0k_ev_per_atom": 0.8048, "space_group": "F-43m", "e_above_lowest_polymorph_mev_per_atom": 473, "cell": [[4.9523, 0.0000, 0.0000], [2.4762, 4.2888, 0.0000], [2.4762, 1.4296, 4.0436]], "species": ["Sr", "Sr", "Fe", "Ru"], "frac_coords": [[0.0000, 0.0000, 0.0000], [0.7500, 0.7500, 0.7500], [0.5000, 0.5000, 0.5000], [0.2500, 0.2500, 0.2500]]}


No. 8
{"formula": "SrFeRu2", "functional": "SCAN", "state": "PBEsol geometry", "formation_enthalpy_0k_ev_per_atom": 0.5162, "space_group": "P4mm", "e_above_lowest_polymorph_mev_per_atom": 16, "cell": [[3.1100, 0.0000, 0.0000], [0.0000, 3.1100, 0.0000], [0.0000, 0.0000, 7.2309]], "species": ["Ru", "Ru", "Fe", "Sr"], "frac_coords": [[0.0000, 0.0000, 0.9876], [0.5000, 0.5000, 0.1802], [0.5000, 0.5000, 0.8320], [0.0000, 0.0000, 0.5002]]}


No. 9
{"formula": "SrFeRu2", "functional": "SCAN", "state": "PBEsol geometry", "formation_enthalpy_0k_ev_per_atom": 0.8298, "space_group": "Fm-3m", "e_above_lowest_polymorph_mev_per_atom": 330, "cell": [[-3.8878, -2.2410, -0.4553], [-0.4985, -4.0604, 1.8997], [-2.7384, -0.5092, 3.5477]], "species": ["Fe", "Ru", "Ru", "Sr"], "frac_coords": [[0.0000, 0.0000, 0.0000], [0.7500, 0.7500, 0.7500], [0.2500, 0.2500, 0.2500], [0.5000, 0.5000, 0.5000]]}


No. 10
{"formula": "TaFeRu3", "functional": "SCAN", "state": "PBEsol geometry", "formation_enthalpy_0k_ev_per_atom": 1.2086, "space_group": "Pm-3m", "cell": [[-3.0447, -0.9339, 2.8648], [1.3784, -4.0533, 0.1437], [2.6794, 1.0240, 3.1815]], "species": ["Fe", "Ru", "Ru", "Ru", "Ta"], "frac_coords": [[0.0000, 0.0000, 0.0000], [0.0000, 0.0000, 0.5000], [0.5000, 0.0000, 0.0000], [0.0000, 0.5000, 0.0000], [0.5000, 0.5000, 0.5000]]}


No. 11
{"formula": "TaFeRu2", "functional": "SCAN", "state": "PBEsol geometry", "formation_enthalpy_0k_ev_per_atom": -0.1232, "space_group": "Imm2", "e_above_lowest_polymorph_mev_per_atom": 232, "cell": [[3.1023, 0.0000, 0.0000], [0.0000, 4.1937, 0.0000], [-1.5511, -2.0969, 4.2961]], "species": ["Ru", "Ru", "Ta", "Fe"], "frac_coords": [[0.7531, 0.2531, 0.5062], [0.9899, 0.9899, 0.9798], [0.5069, 0.5069, 0.0137], [0.2501, 0.7501, 0.5003]]}


No. 12
{"formula": "TaFe2Ru", "functional": "SCAN", "state": "PBEsol geometry", "formation_enthalpy_0k_ev_per_atom": -0.2013, "space_group": "Pmmm", "e_above_lowest_polymorph_mev_per_atom": 27, "cell": [[-1.0715, 1.6189, -2.4488], [-3.4372, -2.2942, -0.0127], [-1.7990, 2.6810, 2.5595]], "species": ["Ru", "Ta", "Fe", "Fe"], "frac_coords": [[0.5000, 0.0000, 0.5000], [0.0000, 0.5000, 0.5000], [0.5000, 0.5000, 0.0000], [0.0000, 0.0000, 0.0000]]}